Compound: LaTeSCl2
Source: Alexandria via LeMat-Bulk
Functional: PBEsol
Structure: relaxed

Values from the calculation:
- Total energy: -4.38 eV/atom
- Symmetry: P4/mmm (123)
- Formation energy from raw total energies: -930 meV/atom
- Crystal system: tetragonal

Geometry as POSCAR:
```
LaTeSCl2
1.0
5.409 0.000 0.000
0.000 5.409 0.000
0.000 0.000 5.637
Cl Te La S
2 1 1 1
direct
0.500 0.000 0.000
0.000 0.500 0.000
0.500 0.500 0.500
0.000 0.000 0.000
0.000 0.000 0.500
```

---

Compound: LaTiSCl2
Source: Alexandria via LeMat-Bulk
Functional: PBEsol
Structure: relaxed

Values from the calculation:
- Total energy: -5.81 eV/atom
- Symmetry: P4/mmm (123)
- Formation energy from raw total energies: -1394 meV/atom
- Crystal system: tetragonal

Geometry as POSCAR:
```
LaTiSCl2
1.0
-3.115 -2.870 -1.860
1.735 -3.494 2.487
-3.039 1.007 3.534
Ti La Cl S
1 1 2 1
direct
0.000 0.000 0.000
0.500 0.500 0.500
0.000 0.500 0.000
0.500 0.000 0.000
0.000 0.000 0.500
```

---

Compound: LaSbCl
Source: Alexandria via LeMat-Bulk
Functional: PBEsol
Structure: relaxed

Values from the calculation:
- Total energy: -5.04 eV/atom
- Distance to the lowest polymorph of the same formula: 0 meV per atom
- Symmetry: P3m1 (156)
- Formation energy from raw total energies: -1068 meV/atom
- Crystal system: trigonal

Geometry as POSCAR:
```
LaSbCl
1.0
-4.149 -0.313 -0.081
2.325 -2.552 -2.324
0.236 -4.460 5.134
La Cl Sb
1 1 1
direct
0.333 0.667 0.696
0.000 0.000 0.924
0.667 0.333 0.380
```

---

Compound: LaSb2Cl
Source: Alexandria via LeMat-Bulk
Functional: PBEsol
Structure: relaxed

Values from the calculation:
- Total energy: -4.96 eV/atom
- Distance to the lowest polymorph of the same formula: 113 meV per atom
- Symmetry: P4/mmm (123)
- Formation energy from raw total energies: -847 meV/atom
- Crystal system: tetragonal

Geometry as POSCAR:
```
LaSb2Cl
1.0
-1.318 -0.206 4.194
-3.428 -2.489 -1.199
3.194 -4.769 0.769
Cl La Sb
1 1 2
direct
0.500 0.500 0.000
0.500 0.500 0.500
0.000 0.000 0.742
0.000 0.000 0.258
```

---

Compound: LaSb2Cl
Source: Alexandria via LeMat-Bulk
Functional: PBEsol
Structure: relaxed

Values from the calculation:
- Total energy: -5.08 eV/atom
- Distance to the lowest polymorph of the same formula: 0 meV per atom
- Symmetry: Imm2 (44)
- Formation energy from raw total energies: -960 meV/atom
- Crystal system: orthorhombic

Geometry as POSCAR:
```
LaSb2Cl
1.0
-1.166 -0.124 3.927
5.328 -1.576 1.532
-0.881 5.393 -2.230
Sb La Cl
2 1 1
direct
0.742 0.242 0.485
0.036 0.036 0.073
0.215 0.715 0.431
0.506 0.506 0.011
```

---

Compound: LaSbCl
Source: Alexandria via LeMat-Bulk
Functional: PBEsol
Structure: relaxed

Values from the calculation:
- Total energy: -4.57 eV/atom
- Distance to the lowest polymorph of the same formula: 469 meV per atom
- Symmetry: F-43m (216)
- Formation energy from raw total energies: -598 meV/atom
- Crystal system: cubic

Geometry as POSCAR:
```
LaSbCl
1.0
-1.182 4.842 -1.508
-3.916 0.805 -3.337
-4.405 2.237 1.645
Cl La Sb
1 1 1
direct
0.000 0.000 0.000
0.500 0.500 0.500
0.250 0.250 0.250
```

---

Compound: LaSc2Cl
Source: Alexandria via LeMat-Bulk
Functional: PBEsol
Structure: relaxed

Values from the calculation:
- Total energy: -5.63 eV/atom
- Distance to the lowest polymorph of the same formula: 135 meV per atom
- Symmetry: Cmmm (65)
- Formation energy from raw total energies: -487 meV/atom
- Crystal system: orthorhombic

Geometry as POSCAR:
```
LaSc2Cl
1.0
-2.934 -0.576 -1.506
2.812 -0.198 -1.806
0.727 -9.339 2.155
Sc La Cl
2 1 1
direct
0.000 0.000 0.287
0.000 0.000 0.713
0.500 0.500 0.000
0.500 0.500 0.500
```

---

Compound: LaSc2Cl
Source: Alexandria via LeMat-Bulk
Functional: PBEsol
Structure: relaxed

Values from the calculation:
- Total energy: -5.76 eV/atom
- Distance to the lowest polymorph of the same formula: 3 meV per atom
- Symmetry: R-3m (166)
- Formation energy from raw total energies: -618 meV/atom
- Crystal system: trigonal

Geometry as POSCAR:
```
LaSc2Cl
1.0
-2.198 -2.481 0.766
1.145 -2.995 1.140
-0.839 1.273 9.266
La Sc Cl
1 2 1
direct
0.000 0.000 0.000
0.237 0.237 0.290
0.763 0.763 0.710
0.500 0.500 0.500
```

---

Compound: LaSc2Cl
Source: Alexandria via LeMat-Bulk
Functional: PBEsol
Structure: relaxed

Values from the calculation:
- Total energy: -5.76 eV/atom
- Distance to the lowest polymorph of the same formula: 0 meV per atom
- Symmetry: Amm2 (38)
- Formation energy from raw total energies: -622 meV/atom
- Crystal system: orthorhombic

Geometry as POSCAR:
```
LaSc2Cl
1.0
-3.510 0.304 -3.480
-1.652 -2.474 1.451
-1.116 3.659 4.969
Sc La Cl
2 1 1
direct
0.919 0.000 0.837
0.337 0.500 0.674
0.619 0.500 0.238
0.141 0.000 0.282
```

---

Compound: La4ScCl
Source: Alexandria via LeMat-Bulk
Functional: PBEsol
Structure: relaxed

Values from the calculation:
- Total energy: -4.75 eV/atom
- Symmetry: F-43m (216)
- Formation energy from raw total energies: 252 meV/atom
- Crystal system: cubic

Geometry as POSCAR:
```
La4ScCl
1.0
6.425 0.000 0.000
3.212 5.564 0.000
3.212 1.855 5.246
La Cl Sc
4 1 1
direct
0.378 0.378 0.378
0.378 0.378 0.867
0.867 0.378 0.378
0.378 0.867 0.378
0.000 0.000 0.000
0.750 0.750 0.750
```

---

Compound: LaScCl
Source: Alexandria via LeMat-Bulk
Functional: PBEsol
Structure: relaxed

Values from the calculation:
- Total energy: -5.54 eV/atom
- Symmetry: P3m1 (156)
- Formation energy from raw total energies: -890 meV/atom
- Crystal system: trigonal

Geometry as POSCAR:
```
LaScCl
1.0
-0.195 -2.890 1.890
1.164 -0.137 -3.255
6.624 1.072 2.323
Sc Cl La
1 1 1
direct
0.667 0.333 0.290
0.000 0.000 0.036
0.333 0.667 0.674
```

---

Compound: La3SeCl
Source: Alexandria via LeMat-Bulk
Functional: PBEsol
Structure: relaxed

Values from the calculation:
- Total energy: -4.98 eV/atom
- Symmetry: Pm-3m (221)
- Formation energy from raw total energies: -600 meV/atom
- Crystal system: cubic

Geometry as POSCAR:
```
La3SeCl
1.0
5.638 0.000 0.000
0.000 5.638 0.000
0.000 0.000 5.638
La Se Cl
3 1 1
direct
0.500 0.000 0.000
0.000 0.000 0.500
0.000 0.500 0.000
0.000 0.000 0.000
0.500 0.500 0.500
```

---

Here are the calculated N(E_F) numbers, same order: 4.5 4.1 2.3 2.6 0.3 5.8 6.1 2.7 4.9 11.8 3.8 8.0 (states/eV/cell).